[1]
# Pm6AsRh2Br3

Pm6AsRh2Br3 after structural relaxation (PBE, the Alexandria database).

Lattice parameters (Å, degrees): 7.252 7.252 7.964 98.66 98.66 119.97
Atoms (fractional coordinates):
Pm (0.085, 0.433, 0.800)
Pm (0.217, 0.217, 0.199)
Pm (0.433, 0.085, 0.800)
Pm (0.567, 0.915, 0.200)
Pm (0.783, 0.783, 0.801)
Pm (0.915, 0.567, 0.200)
As (0.500, 0.500, 0.000)
Rh (0.167, 0.833, 0.000)
Rh (0.833, 0.167, 0.000)
Br (0.000, 0.000, 0.500)
Br (0.338, 0.662, 0.500)
Br (0.662, 0.338, 0.500)

total energy: -5.555 eV/atom
Fermi-level density of states: 3.94 states/eV/cell
space group: C2/m, No. 12
energy relative to the elements, uncorrected: -13.78 eV per formula unit

[2]
# BeAu2Br

BeAu2Br after structural relaxation (PBE, the Alexandria database).

Lattice parameters (Å, degrees): 4.736 4.736 4.736 60.00 60.00 60.00
Atoms (fractional coordinates):
Be (0.000, 0.000, 0.000)
Au (0.500, 0.500, 0.500)
Au (0.750, 0.750, 0.750)
Br (0.250, 0.250, 0.250)

total energy: -2.326 eV/atom
Fermi-level density of states: 1.93 states/eV/cell
space group: F-43m, No. 216
polymorph energy (0 for the lowest one): 3.11 eV per formula unit
energy relative to the elements, uncorrected: 2.65 eV per formula unit

[3]
# Hf3CdSn

Hf3CdSn after structural relaxation (PBE, the Alexandria database).

Lattice parameters (Å, degrees): 5.143 5.143 5.143 90.00 90.00 90.00
Atoms (fractional coordinates):
Hf (0.000, 0.000, 0.500)
Hf (0.000, 0.500, 0.000)
Hf (0.500, 0.000, 0.000)
Cd (0.000, 0.000, 0.000)
Sn (0.500, 0.500, 0.500)

total energy: -5.985 eV/atom
Fermi-level density of states: 4.94 states/eV/cell
space group: Pm-3m, No. 221
polymorph energy (0 for the lowest one): 3.99 eV per formula unit
DFT formation energy: 970 meV per atom

[4]
# NbSbOs3

NbSbOs3 after structural relaxation (PBE, the Alexandria database).

Lattice parameters (Å, degrees): 4.786 4.786 4.786 90.00 90.00 90.00
Atoms (fractional coordinates):
Nb (0.000, 0.000, 0.000)
Sb (0.500, 0.500, 0.500)
Os (0.000, 0.000, 0.500)
Os (0.000, 0.500, 0.000)
Os (0.500, 0.000, 0.000)

total energy: -7.506 eV/atom
Fermi-level density of states: 4.44 states/eV/cell
space group: Pm-3m, No. 221
polymorph energy (0 for the lowest one): 0.00 eV per formula unit
energy relative to the elements, uncorrected: 10.35 eV per formula unit

[5]
# TbDyMn2

TbDyMn2 after structural relaxation (PBE, the Alexandria database).

Lattice parameters (Å, degrees): 4.962 4.962 3.580 90.00 90.00 90.00
Atoms (fractional coordinates):
Tb (0.000, 0.000, 0.000)
Dy (0.500, 0.500, 0.000)
Mn (0.000, 0.500, 0.500)
Mn (0.500, 0.000, 0.500)

total energy: -6.693 eV/atom
Fermi-level density of states: 4.15 states/eV/cell
space group: P4/mmm, No. 123
DFT formation energy: 200 meV per atom

[6]
# BaSrS2O8

BaSrS2O8 after structural relaxation (PBE, the Alexandria database).

Lattice parameters (Å, degrees): 5.462 5.462 8.153 90.00 90.00 120.00
Atoms (fractional coordinates):
Ba (0.000, 0.000, 0.000)
Sr (0.000, 0.000, 0.500)
S (0.333, 0.667, 0.778)
S (0.667, 0.333, 0.222)
O (0.180, 0.369, 0.717)
O (0.189, 0.820, 0.717)
O (0.333, 0.667, 0.960)
O (0.369, 0.189, 0.283)
O (0.631, 0.811, 0.717)
O (0.667, 0.333, 0.040)
O (0.811, 0.180, 0.283)
O (0.820, 0.631, 0.283)

total energy: -6.497 eV/atom
Fermi-level density of states: 0.00 states/eV/cell
space group: P-3, No. 147
energy relative to the elements, uncorrected: -26.43 eV per formula unit

[7]
# NdNpCdO6

NdNpCdO6 after structural relaxation (PBE, the Alexandria database).

Lattice parameters (Å, degrees): 5.653 5.653 10.148 90.00 90.00 120.00
Atoms (fractional coordinates):
Nd (0.000, 0.000, 0.000)
Nd (0.000, 0.000, 0.500)
Np (0.333, 0.667, 0.250)
Np (0.667, 0.333, 0.750)
Cd (0.333, 0.667, 0.750)
Cd (0.667, 0.333, 0.250)
O (0.041, 0.367, 0.136)
O (0.041, 0.674, 0.364)
O (0.326, 0.367, 0.364)
O (0.326, 0.959, 0.136)
O (0.367, 0.041, 0.636)
O (0.367, 0.326, 0.864)
O (0.633, 0.674, 0.136)
O (0.633, 0.959, 0.364)
O (0.674, 0.041, 0.864)
O (0.674, 0.633, 0.636)
O (0.959, 0.326, 0.636)
O (0.959, 0.633, 0.864)

total energy: -7.820 eV/atom
space group: P-31c, No. 163
energy relative to the elements, uncorrected: -22.01 eV per formula unit

[8]
# Pa5RhSe4

Pa5RhSe4 after structural relaxation (PBE, the Alexandria database).

Lattice parameters (Å, degrees): 7.049 7.049 7.049 99.59 99.59 131.82
Atoms (fractional coordinates):
Pa (0.000, 0.000, 0.000)
Pa (0.213, 0.400, 0.612)
Pa (0.400, 0.787, 0.187)
Pa (0.600, 0.213, 0.813)
Pa (0.787, 0.600, 0.388)
Rh (0.500, 0.500, 0.000)
Se (0.094, 0.695, 0.789)
Se (0.305, 0.094, 0.399)
Se (0.695, 0.906, 0.601)
Se (0.906, 0.305, 0.211)

total energy: -7.953 eV/atom
Fermi-level density of states: 19.09 states/eV/cell
space group: I4/m, No. 87
energy relative to the elements, uncorrected: -10.76 eV per formula unit

[9]
# RbAlHg2Te

RbAlHg2Te after structural relaxation (PBE, the Alexandria database).

Lattice parameters (Å, degrees): 5.412 5.412 5.758 90.00 90.00 90.00
Atoms (fractional coordinates):
Rb (0.000, 0.000, 0.000)
Al (0.500, 0.500, 0.500)
Hg (0.000, 0.500, 0.500)
Hg (0.500, 0.000, 0.500)
Te (0.500, 0.500, 0.000)

total energy: -1.999 eV/atom
Fermi-level density of states: 1.19 states/eV/cell
space group: P4/mmm, No. 123
energy relative to the elements, uncorrected: -1.54 eV per formula unit

[10]
# UGaCoIr

UGaCoIr after structural relaxation (PBE, the Alexandria database).

Lattice parameters (Å, degrees): 4.551 4.551 4.551 60.00 60.00 60.00
Atoms (fractional coordinates):
U (0.000, 0.000, 0.000)
Ga (0.500, 0.500, 0.500)
Co (0.750, 0.750, 0.750)
Ir (0.250, 0.250, 0.250)

total energy: -7.855 eV/atom
Fermi-level density of states: 5.12 states/eV/cell
space group: F-43m, No. 216
DFT formation energy: -284 meV per atom

[11]
# LiHgSb2

LiHgSb2 after structural relaxation (PBE, the Alexandria database).

Lattice parameters (Å, degrees): 5.082 5.082 6.437 114.82 114.82 46.49
Atoms (fractional coordinates):
Li (0.000, 0.000, 0.000)
Hg (0.795, 0.795, 0.485)
Sb (0.338, 0.338, 0.156)
Sb (0.643, 0.643, 0.793)

total energy: -2.736 eV/atom
Fermi-level density of states: 1.11 states/eV/cell
space group: Cm, No. 8
energy relative to the elements, uncorrected: -0.48 eV per formula unit

[12]
# K2MgTc

K2MgTc after structural relaxation (PBE, the Alexandria database).

Lattice parameters (Å, degrees): 6.633 6.633 6.633 140.36 140.36 57.30
Atoms (fractional coordinates):
K (0.250, 0.750, 0.500)
K (0.750, 0.250, 0.500)
Mg (0.000, 0.000, 0.000)
Tc (0.500, 0.500, 0.000)

total energy: -2.406 eV/atom
Fermi-level density of states: 6.26 states/eV/cell
space group: I4/mmm, No. 139
DFT formation energy: 1133 meV per atom

[13]
# K2TmAgCl6

K2TmAgCl6 after structural relaxation (PBE, the Alexandria database).

Lattice parameters (Å, degrees): 7.518 7.518 7.518 60.00 60.00 60.00
Atoms (fractional coordinates):
K (0.250, 0.250, 0.250)
K (0.750, 0.750, 0.750)
Tm (0.000, 0.000, 0.000)
Ag (0.500, 0.500, 0.500)
Cl (0.244, 0.244, 0.756)
Cl (0.244, 0.756, 0.244)
Cl (0.244, 0.756, 0.756)
Cl (0.756, 0.244, 0.244)
Cl (0.756, 0.244, 0.756)
Cl (0.756, 0.756, 0.244)

total energy: -3.842 eV/atom
Fermi-level density of states: 0.00 states/eV/cell
space group: Fm-3m, No. 225
polymorph energy (0 for the lowest one): 0.37 eV per formula unit
energy relative to the elements, uncorrected: -17.82 eV per formula unit

[14]
# TbErScCd

TbErScCd after structural relaxation (PBE, the Alexandria database).

Lattice parameters (Å, degrees): 3.552 3.552 8.606 90.00 90.00 90.00
Atoms (fractional coordinates):
Tb (0.000, 0.000, 0.000)
Er (0.000, 0.000, 0.516)
Sc (0.500, 0.500, 0.260)
Cd (0.500, 0.500, 0.754)

total energy: -4.238 eV/atom
Fermi-level density of states: 5.66 states/eV/cell
space group: P4mm, No. 99
polymorph energy (0 for the lowest one): 0.00 eV per formula unit
DFT formation energy: -128 meV per atom

[15]
# La6GaPd2I3

La6GaPd2I3 after structural relaxation (PBE, the Alexandria database).

Lattice parameters (Å, degrees): 7.598 7.598 8.310 98.81 98.81 119.84
Atoms (fractional coordinates):
La (0.091, 0.432, 0.793)
La (0.227, 0.227, 0.203)
La (0.432, 0.091, 0.793)
La (0.568, 0.909, 0.207)
La (0.773, 0.773, 0.797)
La (0.909, 0.568, 0.207)
Ga (0.500, 0.500, 0.000)
Pd (0.168, 0.832, 0.000)
Pd (0.832, 0.168, 0.000)
I (0.000, 0.000, 0.500)
I (0.338, 0.662, 0.500)
I (0.662, 0.338, 0.500)

total energy: -4.846 eV/atom
Fermi-level density of states: 13.03 states/eV/cell
space group: C2/m, No. 12
energy relative to the elements, uncorrected: -10.53 eV per formula unit

[16]
# Tl2CuW

Tl2CuW after structural relaxation (PBE, the Alexandria database).

Lattice parameters (Å, degrees): 5.610 5.610 5.610 138.23 138.23 60.55
Atoms (fractional coordinates):
Tl (0.000, 0.000, 0.000)
Tl (0.750, 0.250, 0.500)
Cu (0.500, 0.500, 0.000)
W (0.250, 0.750, 0.500)

total energy: -4.489 eV/atom
Fermi-level density of states: 2.69 states/eV/cell
space group: I-4m2, No. 119
polymorph energy (0 for the lowest one): 1.26 eV per formula unit
DFT formation energy: 957 meV per atom

[17]
# LaTaW4

LaTaW4 after structural relaxation (PBE, the Alexandria database).

Lattice parameters (Å, degrees): 5.486 5.486 5.486 60.00 60.00 60.00
Atoms (fractional coordinates):
La (0.000, 0.000, 0.000)
Ta (0.750, 0.750, 0.750)
W (0.375, 0.375, 0.375)
W (0.375, 0.375, 0.875)
W (0.375, 0.875, 0.375)
W (0.875, 0.375, 0.375)

total energy: -11.055 eV/atom
Fermi-level density of states: 5.81 states/eV/cell
space group: F-43m, No. 216
DFT formation energy: 377 meV per atom

[18]
# Re2MoCl

Re2MoCl after structural relaxation (PBE, the Alexandria database).

Lattice parameters (Å, degrees): 2.813 2.813 9.171 90.00 90.00 117.68
Atoms (fractional coordinates):
Re (0.000, 0.000, 0.000)
Re (0.500, 0.500, 0.235)
Mo (0.000, 0.000, 0.488)
Cl (0.500, 0.500, 0.713)

total energy: -8.823 eV/atom
Fermi-level density of states: 4.37 states/eV/cell
space group: Cmm2, No. 35
polymorph energy (0 for the lowest one): 1.31 eV per formula unit
energy relative to the elements, uncorrected: 2.28 eV per formula unit

[19]
# CaPd3N

CaPd3N after structural relaxation (PBE, the Alexandria database).

Lattice parameters (Å, degrees): 5.090 5.090 5.090 90.00 90.00 90.00
Atoms (fractional coordinates):
Ca (0.000, 0.000, 0.000)
Pd (0.000, 0.000, 0.500)
Pd (0.000, 0.500, 0.000)
Pd (0.500, 0.000, 0.000)
N (0.500, 0.500, 0.500)

total energy: -3.351 eV/atom
Fermi-level density of states: 2.92 states/eV/cell
space group: Pm-3m, No. 221
polymorph energy (0 for the lowest one): 10.18 eV per formula unit
energy relative to the elements, uncorrected: 9.15 eV per formula unit

[20]
# CrPd3C

CrPd3C after structural relaxation (PBE, the Alexandria database).

Lattice parameters (Å, degrees): 4.156 4.156 4.156 90.00 90.00 90.00
Atoms (fractional coordinates):
Cr (0.000, 0.000, 0.000)
Pd (0.000, 0.500, 0.500)
Pd (0.500, 0.000, 0.500)
Pd (0.500, 0.500, 0.000)
C (0.500, 0.500, 0.500)

total energy: -6.544 eV/atom
Fermi-level density of states: 9.57 states/eV/cell
space group: Pm-3m, No. 221
polymorph energy (0 for the lowest one): 0.00 eV per formula unit
DFT formation energy: 341 meV per atom